VASP calculation (PBE) on crystalline PrSmCu2 at its relaxed geometry.

The structure in extended XYZ format:
```
8
Lattice="-3.1360 -0.1829 3.2943 -3.9121 -1.1925 -3.7903 1.3338 -7.1499 0.8728" Properties=species:S:1:pos:R:3 pbc="T T T"
Cu -3.4007 -4.1708 -0.3239
Cu -1.7376 -7.4421 1.0777
Cu -2.6891 -4.8479 -2.8290
Cu -0.4679 -0.3926 -0.4672
Pr -1.6163 -2.5324 1.4657
Pr -3.9084 -7.0094 -0.9648
Sm -2.1865 -2.0261 -2.1939
Sm -0.5787 -5.3142 -0.8459
```

Results
Total magnetic moment: 0.015 μB per formula unit
SG: Pmc2_1
Formation energy: -0.19 eV/atom